A plane-wave DFT calculation with GGA-PBE was carried out for crystalline LiTaCrRh2 at its relaxed geometry.

```
5
Lattice="4.1395 0.0000 0.0000 0.0000 4.1395 0.0000 0.0000 0.0000 4.0835" Properties=species:S:1:pos:R:3 pbc="T T T"
Li 0.0000 0.0000 0.0000
Ta 2.0698 2.0698 2.0417
Cr 0.0000 0.0000 2.0417
Rh 0.0000 2.0698 0.0000
Rh 2.0698 0.0000 0.0000
```



A plane-wave DFT calculation with GGA-PBE was carried out for crystalline Li2CrTcRh at its relaxed geometry.

```
5
Lattice="4.3890 0.0000 0.0000 0.0000 4.3890 0.0000 0.0000 0.0000 4.1872" Properties=species:S:1:pos:R:3 pbc="T T T"
Li 0.0000 2.1945 0.0000
Li 2.1945 0.0000 0.0000
Cr 0.0000 0.0000 2.0936
Tc 0.0000 0.0000 0.0000
Rh 2.1945 2.1945 2.0936
```



A plane-wave DFT calculation with GGA-PBE was carried out for crystalline LiTlCr2Rh at its relaxed geometry.

```
5
Lattice="4.8361 0.0000 0.0000 0.0000 4.8361 0.0000 0.0000 0.0000 5.2126" Properties=species:S:1:pos:R:3 pbc="T T T"
Li 0.0000 0.0000 0.0000
Tl 2.4181 2.4181 0.0000
Cr 0.0000 2.4181 2.6063
Cr 2.4181 0.0000 2.6063
Rh 2.4181 2.4181 2.6063
```



A plane-wave DFT calculation with GGA-PBE was carried out for crystalline Li2VCrRh at its relaxed geometry.

```
5
Lattice="4.2499 0.0000 0.0000 0.0000 4.2499 0.0000 0.0000 0.0000 4.5003" Properties=species:S:1:pos:R:3 pbc="T T T"
Li 0.0000 2.1249 0.0000
Li 2.1249 0.0000 0.0000
V 0.0000 0.0000 2.2502
Cr 2.1249 2.1249 0.0000
Rh 2.1249 2.1249 2.2502
```



A plane-wave DFT calculation with GGA-PBE was carried out for crystalline LiYCrRh2 at its relaxed geometry.

```
5
Lattice="4.2380 0.0000 0.0000 0.0000 4.2380 0.0000 0.0000 0.0000 4.4585" Properties=species:S:1:pos:R:3 pbc="T T T"
Li 0.0000 0.0000 0.0000
Y 0.0000 0.0000 2.2292
Cr 2.1190 2.1190 2.2292
Rh 0.0000 2.1190 0.0000
Rh 2.1190 0.0000 0.0000
```



A plane-wave DFT calculation with GGA-PBE was carried out for crystalline LiZnCr2Rh at its relaxed geometry.

```
5
Lattice="3.9530 0.0000 0.0000 0.0000 3.9530 0.0000 0.0000 0.0000 4.0963" Properties=species:S:1:pos:R:3 pbc="T T T"
Li 0.0000 0.0000 0.0000
Zn 0.0000 0.0000 2.0482
Cr 0.0000 1.9765 0.0000
Cr 1.9765 0.0000 0.0000
Rh 1.9765 1.9765 2.0482
```



A plane-wave DFT calculation with GGA-PBE was carried out for crystalline Li2CrRu at its relaxed geometry.

```
4
Lattice="2.4786 -4.6710 0.0000 2.4786 4.6710 0.0000 -1.2311 0.0000 2.3987" Properties=species:S:1:pos:R:3 pbc="T T T"
Li 1.2393 2.3355 0.0000
Li 1.2393 -2.3355 0.0000
Cr -0.6155 0.0000 1.1994
Ru 1.8631 0.0000 1.1994
```

Polymorph energy (0 for the lowest one) ... 85 meV/atom



A plane-wave DFT calculation with GGA-PBE was carried out for crystalline LiCrRu at its relaxed geometry.

```
3
Lattice="4.1181 0.0000 0.0000 -2.0590 3.5664 0.0000 0.0000 0.0000 2.5439" Properties=species:S:1:pos:R:3 pbc="T T T"
Li 0.0000 0.0000 0.0000
Cr 0.0000 2.3776 1.6357
Ru 2.0590 1.1888 0.9802
```

Polymorph energy (0 for the lowest one) ... 78 meV/atom



A plane-wave DFT calculation with GGA-PBE was carried out for crystalline Li2CrRu at its relaxed geometry.

```
4
Lattice="2.9991 0.0000 0.0000 0.0000 3.9092 0.0000 0.0000 0.0000 4.5860" Properties=species:S:1:pos:R:3 pbc="T T T"
Li 0.0000 0.0000 0.0000
Li 1.4996 1.9546 0.0000
Cr 0.0000 1.9546 2.2930
Ru 1.4996 0.0000 2.2930
```

Polymorph energy (0 for the lowest one) ... 37 meV/atom



A plane-wave DFT calculation with GGA-PBE was carried out for crystalline LiCrRu at its relaxed geometry.

```
6
Lattice="2.7426 0.0000 0.0000 0.0000 3.8228 0.0000 -1.2210 0.0000 7.8071" Properties=species:S:1:pos:R:3 pbc="T T T"
Li 0.0494 0.9557 3.2959
Li 1.4722 2.8671 4.5112
Cr -0.0082 0.9557 0.6867
Cr 1.5298 2.8671 7.1204
Ru 0.1473 0.9557 6.2464
Ru 1.3743 2.8671 1.5606
```

Polymorph energy (0 for the lowest one) ... 0 meV/atom



A plane-wave DFT calculation with GGA-PBE was carried out for crystalline LiCrRu4 at its relaxed geometry.

```
6
Lattice="0.0000 3.5889 3.5889 3.5889 0.0000 3.5889 3.5889 3.5889 0.0000" Properties=species:S:1:pos:R:3 pbc="T T T"
Li 0.0000 0.0000 0.0000
Cr 1.7945 1.7945 1.7945
Ru 4.4871 2.6908 2.6908
Ru 2.6908 4.4871 2.6908
Ru 2.6908 2.6908 4.4871
Ru 4.4871 4.4871 4.4871
```



A plane-wave DFT calculation with GGA-PBE was carried out for crystalline Li2CrRu at its relaxed geometry.

```
4
Lattice="3.0069 0.0000 0.0000 0.0000 3.0069 0.0000 0.0000 0.0000 6.5279" Properties=species:S:1:pos:R:3 pbc="T T T"
Li 0.0000 0.0000 0.0000
Li 1.5035 1.5035 1.7660
Cr 1.5035 1.5035 4.6669
Ru 0.0000 0.0000 3.4735
```

Polymorph energy (0 for the lowest one) ... 0 meV/atom



Number 1: energy of formation from the pure elements 0.418 eV per atom. Number 2: energy of formation from the pure elements 1.293 eV per atom. Number 3: energy of formation from the pure elements 0.754 eV per atom. Number 4: energy of formation from the pure elements 1.177 eV per atom. Number 5: energy of formation from the pure elements 0.716 eV per atom. Number 6: energy of formation from the pure elements 1.143 eV per atom. Number 7: energy of formation from the pure elements 0.298 eV per atom. Number 8: energy of formation from the pure elements 0.214 eV per atom. Number 9: energy of formation from the pure elements 0.251 eV per atom. Number 10: energy of formation from the pure elements 0.137 eV per atom. Number 11: energy of formation from the pure elements 0.480 eV per atom. Number 12: energy of formation from the pure elements 0.213 eV per atom.